The following is a DFT calculation (GGA-PBEsol) of a relaxed structure of LaZnAu2.

Cell: 5.512 5.512 5.512 Å, 48.46 48.46 48.46°
Element x y z (fractional)
La: 0.000 0.000 0.000
Zn: 0.210 0.210 0.210
Au: 0.542 0.542 0.542
Au: 0.786 0.786 0.786

Calculated values
The value obtained for the density is 11.55 g/cm³. The energy relative to the elements comes out at -0.548 eV per atom.



The following is a DFT calculation (GGA-PBEsol) of a relaxed structure of LaZr2Au2.

Cell: 5.899 5.899 5.899 Å, 128.02 128.02 76.59°
Element x y z (fractional)
La: 0.000 0.000 0.000
Zr: 0.346 0.346 0.000
Zr: 0.654 0.654 0.000
Au: 0.250 0.750 0.500
Au: 0.750 0.250 0.500

Calculated values
The value obtained for the density is 9.60 g/cm³. The energy relative to the elements comes out at -0.188 eV per atom.



The following is a DFT calculation (GGA-PBEsol) of a relaxed structure of LaZrAu2.

Cell: 7.906 7.906 7.906 Å, 28.30 28.30 28.30°
Element x y z (fractional)
La: 0.000 0.000 0.000
Zr: 0.500 0.500 0.500
Au: 0.240 0.240 0.240
Au: 0.760 0.760 0.760

Calculated values
The value obtained for the density is 10.56 g/cm³. The energy relative to the elements comes out at -0.397 eV per atom.



The following is a DFT calculation (GGA-PBEsol) of a relaxed structure of LaZrAu2.

Cell: 3.473 3.473 7.349 Å, 90.00 90.00 90.00°
Element x y z (fractional)
La: 0.000 0.000 0.000
Zr: 0.000 0.000 0.500
Au: 0.500 0.500 0.294
Au: 0.500 0.500 0.706

Calculated values
The value obtained for the density is 11.69 g/cm³. The energy relative to the elements comes out at -0.601 eV per atom.



The following is a DFT calculation (GGA-PBEsol) of a relaxed structure of LiAu3.

Cell: 3.985 3.985 3.985 Å, 90.00 90.00 90.00°
Element x y z (fractional)
Li: 0.000 0.000 0.000
Au: 0.000 0.500 0.500
Au: 0.500 0.000 0.500
Au: 0.500 0.500 0.000

Calculated values
The value obtained for the density is 15.68 g/cm³. The energy relative to the elements comes out at -0.361 eV per atom.



The following is a DFT calculation (GGA-PBEsol) of a relaxed structure of Li2Au.

Cell: 4.731 4.731 4.595 Å, 90.00 90.00 61.40°
Element x y z (fractional)
Li: 0.011 0.674 0.750
Li: 0.326 0.989 0.750
Li: 0.674 0.011 0.250
Li: 0.989 0.326 0.250
Au: 0.331 0.669 0.250
Au: 0.669 0.331 0.750

Calculated values
The value obtained for the density is 7.75 g/cm³. The energy relative to the elements comes out at -0.433 eV per atom.



The following is a DFT calculation (GGA-PBEsol) of a relaxed structure of Li12Au17.

Cell: 8.307 8.307 8.307 Å, 109.47 109.47 109.47°
Element x y z (fractional)
Li: 0.000 0.623 0.803
Li: 0.000 0.803 0.623
Li: 0.180 0.377 0.377
Li: 0.197 0.197 0.820
Li: 0.197 0.820 0.197
Li: 0.377 0.180 0.377
Li: 0.377 0.377 0.180
Li: 0.623 0.000 0.803
Li: 0.623 0.803 0.000
Li: 0.803 0.000 0.623
Li: 0.803 0.623 0.000
Li: 0.820 0.197 0.197
Au: 0.000 0.000 0.000
Au: 0.000 0.000 0.333
Au: 0.000 0.313 0.599
Au: 0.000 0.333 0.000
Au: 0.000 0.599 0.313
Au: 0.286 0.687 0.687
Au: 0.313 0.000 0.599
Au: 0.313 0.599 0.000
Au: 0.333 0.000 0.000
Au: 0.401 0.401 0.714
Au: 0.401 0.714 0.401
Au: 0.599 0.000 0.313
Au: 0.599 0.313 0.000
Au: 0.667 0.667 0.667
Au: 0.687 0.286 0.687
Au: 0.687 0.687 0.286
Au: 0.714 0.401 0.401

Calculated values
The value obtained for the density is 12.92 g/cm³. The energy relative to the elements comes out at -0.367 eV per atom.



The following is a DFT calculation (GGA-PBEsol) of a relaxed structure of Li2Au.

Cell: 12.188 12.188 12.188 Å, 166.31 166.31 19.41°
Element x y z (fractional)
Li: 0.305 0.555 0.750
Li: 0.445 0.695 0.750
Li: 0.555 0.305 0.250
Li: 0.695 0.445 0.250
Au: 0.125 0.875 0.250
Au: 0.875 0.125 0.750

Calculated values
The value obtained for the density is 6.91 g/cm³. The energy relative to the elements comes out at -0.347 eV per atom.